KSrTlAg: relaxed, PBE-GGA.

Summary:
Electronic total energy: -0.1509 Ry/atom
Crystal system: cubic
SG: F-43m
Spin magnetization: 0.000 μB/atom

a b c (Å): 5.7594 5.7594 5.7594
angles (deg): 60.00 60.00 60.00
Element x y z (fractional)
K 0.0000 0.0000 0.0000
Sr 0.5000 0.5000 0.5000
Tl 0.2500 0.2500 0.2500
Ag 0.7500 0.7500 0.7500

***

Cd4SiRh: relaxed, PBE-GGA.

Summary:
Electronic total energy: -0.1716 Ry/atom
Crystal system: cubic
Formation energy without anion corrections: 404 meV per atom
SG: F-43m
Spin magnetization: 0.000 μB/atom

a b c (Å): 5.5477 5.5477 5.5477
angles (deg): 60.00 60.00 60.00
Element x y z (fractional)
Cd 0.1246 0.1246 0.1246
Cd 0.1246 0.1246 0.6263
Cd 0.1246 0.6263 0.1246
Cd 0.6263 0.1246 0.1246
Si 0.5000 0.5000 0.5000
Rh 0.7500 0.7500 0.7500

***

Question: Which value of spin magnetization does entry 2 give?
Answer: 0.000 μB/atom

***

Question: Which value of spin magnetization does entry 2 give?
Answer: 0.000 μB/atom

***

Repeat the first record exactly.
KSrTlAg: relaxed, PBE-GGA.

Summary:
Electronic total energy: -0.1509 Ry/atom
Crystal system: cubic
SG: F-43m
Spin magnetization: 0.000 μB/atom

a b c (Å): 5.7594 5.7594 5.7594
angles (deg): 60.00 60.00 60.00
Element x y z (fractional)
K 0.0000 0.0000 0.0000
Sr 0.5000 0.5000 0.5000
Tl 0.2500 0.2500 0.2500
Ag 0.7500 0.7500 0.7500

***

What did the first record say?
KSrTlAg: relaxed, PBE-GGA.

Summary:
Electronic total energy: -0.1509 Ry/atom
Crystal system: cubic
SG: F-43m
Spin magnetization: 0.000 μB/atom

a b c (Å): 5.7594 5.7594 5.7594
angles (deg): 60.00 60.00 60.00
Element x y z (fractional)
K 0.0000 0.0000 0.0000
Sr 0.5000 0.5000 0.5000
Tl 0.2500 0.2500 0.2500
Ag 0.7500 0.7500 0.7500